# 1
The following is a DFT calculation (GGA-PBE) of K2CdCoSi after structural relaxation.

Values from the calculation:
As for the energy relative to the elements, uncorrected: 0.968 eV/atom. Its volume is 185.37 Å³/cell.

Cell lengths 6.080, 6.080, 5.014 Å; angles 90.00, 90.00, 90.00 degrees
Element x y z (fractional)
1 K 0.000 0.500 0.000
2 K 0.500 0.000 0.000
3 Cd 0.000 0.000 0.500
4 Co 0.000 0.000 0.000
5 Si 0.500 0.500 0.500

***

# 2
The following is a DFT calculation (GGA-PBE) of SrMnZn2 after structural relaxation.

Values from the calculation:
Its volume is 90.91 Å³/cell. The value obtained for the formation energy from the elements is 115 kJ/mol of formula units.

Cell lengths 4.701, 4.701, 4.114 Å; angles 90.00, 90.00, 90.00 degrees
Element x y z (fractional)
1 Sr 0.000 0.000 0.000
2 Mn 0.500 0.500 0.000
3 Zn 0.000 0.500 0.500
4 Zn 0.500 0.000 0.500

***

# 3
The following is a DFT calculation (GGA-PBE) of CaAgHPd2 after structural relaxation.

Values from the calculation:
Its volume is 75.31 Å³/cell. Its energy is -4.106 eV/atom.

Cell lengths 4.132, 4.132, 4.411 Å; angles 90.00, 90.00, 90.00 degrees
Element x y z (fractional)
1 Ca 0.000 0.000 0.000
2 Ag 0.500 0.500 0.000
3 H 0.000 0.000 0.500
4 Pd 0.000 0.500 0.500
5 Pd 0.500 0.000 0.500

***

# 4
The following is a DFT calculation (GGA-PBE) of Pr2Zn4GaPt3 after structural relaxation.

Values from the calculation:
Its volume is 194.10 Å³/cell. The value obtained for the formation energy from the elements is -676 kJ/mol of formula units.

Cell lengths 4.096, 4.096, 11.572 Å; angles 90.00, 90.00, 90.00 degrees
Element x y z (fractional)
1 Pr 0.000 0.500 0.246
2 Pr 0.500 0.000 0.754
3 Zn 0.000 0.000 0.000
4 Zn 0.000 0.500 0.637
5 Zn 0.500 0.000 0.363
6 Zn 0.500 0.500 0.000
7 Ga 0.000 0.000 0.500
8 Pt 0.000 0.500 0.858
9 Pt 0.500 0.000 0.142
10 Pt 0.500 0.500 0.500